1.
# PBE MnSiTe2, optimized geometry
data_MnSiTe2
_chemical_formula_sum 'Mn1 Si1 Te2'
_cell_length_a 9.3158
_cell_length_b 9.3158
_cell_length_c 9.3158
_cell_angle_alpha 22.29
_cell_angle_beta 22.29
_cell_angle_gamma 22.29
_symmetry_space_group_name_H-M 'P 1'
_symmetry_Int_Tables_number 1
loop_
_symmetry_equiv_pos_as_xyz
'x,y,z'
loop_
_atom_site_label
_atom_site_fract_x
_atom_site_fract_y
_atom_site_fract_z
Mn1 0.0000 0.0000 0.0000
Si1 0.5000 0.5000 0.5000
Te1 0.3943 0.3943 0.3943
Te2 0.6057 0.6057 0.6057
# ΔE_f (raw): 1.30 eV per formula unit
# Final energy: -19.578 eV for the cell shown
# Volume: 102.0 Å³/f.u.

***

2.
# PBE NiRhSe6, optimized geometry
data_NiRhSe6
_chemical_formula_sum 'Ni1 Rh1 Se6'
_cell_length_a 5.8140
_cell_length_b 5.8747
_cell_length_c 6.0235
_cell_angle_alpha 101.74
_cell_angle_beta 110.60
_cell_angle_gamma 91.51
_symmetry_space_group_name_H-M 'P 1'
_symmetry_Int_Tables_number 1
loop_
_symmetry_equiv_pos_as_xyz
'x,y,z'
loop_
_atom_site_label
_atom_site_fract_x
_atom_site_fract_y
_atom_site_fract_z
Ni1 0.0000 0.0000 0.0000
Rh1 0.5000 0.5000 0.0000
Se1 0.0611 0.3367 0.8752
Se2 0.3211 0.8583 0.8783
Se3 0.4567 0.3386 0.5684
Se4 0.5433 0.6614 0.4316
Se5 0.6789 0.1417 0.1217
Se6 0.9389 0.6633 0.1248
# ΔE_f (raw): -1.60 eV per formula unit
# Final energy: -35.639 eV for the cell shown
# Volume: 187.5 Å³/f.u.

***

3.
# PBE Ta2InBr, optimized geometry
data_Ta2InBr
_chemical_formula_sum 'Ta2 In1 Br1'
_cell_length_a 4.1911
_cell_length_b 4.1911
_cell_length_c 4.6630
_cell_angle_alpha 90.00
_cell_angle_beta 90.00
_cell_angle_gamma 90.00
_symmetry_space_group_name_H-M 'P 1'
_symmetry_Int_Tables_number 1
loop_
_symmetry_equiv_pos_as_xyz
'x,y,z'
loop_
_atom_site_label
_atom_site_fract_x
_atom_site_fract_y
_atom_site_fract_z
Ta1 0.0000 0.5000 0.0000
Ta2 0.5000 0.0000 0.0000
In1 0.0000 0.0000 0.5000
Br1 0.5000 0.5000 0.5000
# Distance to the lowest polymorph of the same formula: 864 meV per atom
# ΔE_f (raw): 3.74 eV per formula unit
# Final energy: -24.377 eV for the cell shown
# Volume: 81.9 Å³/f.u.